19
Lattice="4.822 2.784 4.700 -4.822 2.784 4.700 0.000 -5.568 4.700" Properties=species:S:1:pos:R:3 comment="PBE Ac2Pt5Au12, optimized geometry" e_form_mev_per_atom=-357 sg=R-3m magmom_total_mub_per_cell=0.00 pbc="T T T"
Ac 0.000 0.000 2.530
Ac 0.000 0.000 11.569
Pt -2.411 -1.392 4.700
Pt 0.000 0.000 5.584
Pt -2.411 1.392 9.399
Pt 0.000 2.784 4.700
Pt 0.000 0.000 8.514
Au 0.000 -2.818 4.482
Au -2.440 1.409 4.482
Au -1.438 -2.491 7.049
Au -2.877 0.000 7.049
Au -2.440 -1.409 9.617
Au 1.438 -2.491 7.049
Au -1.438 2.491 7.049
Au 2.440 1.409 4.482
Au 2.877 0.000 7.049
Au 1.438 2.491 7.049
Au 2.440 -1.409 9.617
Au 0.000 2.818 9.617